# YFe3I12

A relaxed structure of YFe3I12 (PBE-GGA, the Alexandria database).

Space group ... P6_3/m
Uncorrected energy ... -3.5487 eV per atom
Mass density ... 3.57 Mg/m³
ΔE_f (raw) ... -9.12 kcal/mol of atoms

Structure (POSCAR):
```
YFe3I12
1.0
-2.245 -1.152 7.694
-2.840 -14.779 -3.042
13.956 4.322 4.719
I Y Fe
24 2 6
Direct
0.750 0.211 0.966
0.750 0.491 0.984
0.014 0.516 0.761
0.250 0.245 0.211
0.250 0.509 0.016
0.250 0.966 0.755
0.750 0.755 0.789
0.486 0.245 0.484
0.750 0.034 0.245
0.986 0.755 0.516
0.486 0.239 0.755
0.514 0.761 0.245
0.250 0.984 0.493
0.750 0.493 0.509
0.486 0.516 0.761
0.514 0.755 0.516
0.014 0.245 0.484
0.250 0.507 0.491
0.250 0.789 0.034
0.014 0.239 0.755
0.986 0.484 0.239
0.514 0.484 0.239
0.986 0.761 0.245
0.750 0.016 0.507
0.250 0.333 0.667
0.750 0.667 0.333
0.750 0.128 0.432
0.750 0.568 0.696
0.250 0.696 0.128
0.750 0.304 0.872
0.250 0.872 0.568
0.250 0.432 0.304
```